DFT (PBE-GGA) results for NpMnAlRe after structural relaxation.

Cell lengths 4.5095, 4.5095, 4.5095 Å; angles 60.00, 60.00, 60.00 degrees
Positions (direct):
Np1 0.0000 0.0000 0.0000
Mn1 0.2500 0.2500 0.2500
Al1 0.5000 0.5000 0.5000
Re1 0.7500 0.7500 0.7500

Output
DFT formation energy, kJ per mole of atoms: 7.0
Space group: F-43m (216)

=====

DFT (PBE-GGA) results for Np2MnAl2Si4 after structural relaxation.

Cell lengths 5.9252, 5.9252, 5.9252 Å; angles 120.04, 120.04, 89.93 degrees
Positions (direct):
Np1 0.2500 0.7500 0.5000
Np2 0.7500 0.2500 0.5000
Mn1 0.0000 0.0000 0.0000
Al1 0.2818 0.2818 0.0000
Al2 0.7182 0.7182 0.0000
Si1 0.2763 0.2763 0.5526
Si2 0.2763 0.7237 0.0000
Si3 0.7237 0.2763 0.0000
Si4 0.7237 0.7237 0.4474

Output
Space group: I4/mmm (139)
Uncorrected formation energy, meV per atom: -279

=====

Fermi-level density of states: 2.16 1.98 (states/eV per atom)
Total magnetic moment: 0.86 7.52 (Bohr magnetons per cell)